{"formula": "Cs3MgS", "functional": "SCAN", "state": "PBEsol geometry", "final_energy_ev_per_atom": -26.065, "vol_a3_per_atom": 59.39, "lattice_angstrom": [[-0.400, 3.010, 5.941], [5.812, -2.748, 1.783], [3.252, 5.282, -2.457]], "species": ["Cs", "Cs", "Cs", "S", "Mg"], "frac_coords": [[0.000, 0.500, 0.000], [0.000, 0.000, 0.500], [0.500, 0.000, 0.000], [0.000, 0.000, 0.000], [0.500, 0.500, 0.500]]}

{"formula": "CsMg2S2", "functional": "SCAN", "state": "PBEsol geometry", "final_energy_ev_per_atom": -14.535, "vol_a3_per_atom": 26.99, "lattice_angstrom": [[-1.321, 4.097, -0.427], [-4.073, -1.232, 0.778], [3.723, -0.367, 6.884]], "species": ["Cs", "S", "S", "Mg", "Mg"], "frac_coords": [[0.000, 0.000, 0.000], [0.342, 0.342, 0.685], [0.658, 0.658, 0.315], [0.250, 0.750, 0.500], [0.750, 0.250, 0.500]]}

{"formula": "Cs3MgSb", "functional": "SCAN", "state": "PBEsol geometry", "final_energy_ev_per_atom": -30.768, "vol_a3_per_atom": 62.39, "lattice_angstrom": [[-5.471, 2.243, -3.321], [-3.911, -1.760, 5.254], [0.876, 6.154, 2.713]], "species": ["Cs", "Cs", "Cs", "Sb", "Mg"], "frac_coords": [[0.000, 0.500, 0.000], [0.000, 0.000, 0.500], [0.500, 0.000, 0.000], [0.500, 0.500, 0.500], [0.000, 0.000, 0.000]]}

{"formula": "Cs2MgSb", "functional": "SCAN", "state": "PBEsol geometry", "final_energy_ev_per_atom": -29.271, "vol_a3_per_atom": 39.46, "lattice_angstrom": [[-0.094, -3.846, -3.024], [4.585, -1.126, 1.289], [-6.848, -5.078, 10.631]], "species": ["Cs", "Cs", "Cs", "Cs", "Sb", "Sb", "Mg", "Mg"], "frac_coords": [[0.376, 0.875, 0.250], [0.874, 0.375, 0.250], [0.125, 0.126, 0.750], [0.625, 0.624, 0.750], [0.250, 0.750, 0.500], [0.000, 0.000, 0.000], [0.750, 0.250, 0.500], [0.500, 0.500, 0.000]]}

{"formula": "CsMg2TeSe", "functional": "SCAN", "state": "PBEsol geometry", "final_energy_ev_per_atom": -20.029, "vol_a3_per_atom": 42.84, "lattice_angstrom": [[5.478, 0.000, 0.000], [0.000, 6.253, 0.000], [0.000, 0.000, 6.253]], "species": ["Cs", "Mg", "Mg", "Te", "Se"], "frac_coords": [[0.000, 0.000, 0.000], [0.000, 0.000, 0.500], [0.000, 0.500, 0.000], [0.500, 0.500, 0.500], [0.500, 0.000, 0.000]]}

{"formula": "CsMgUSe3", "functional": "SCAN", "state": "PBEsol geometry", "final_energy_ev_per_atom": -35.769, "vol_a3_per_atom": 30.54, "lattice_angstrom": [[-0.039, 2.895, 3.026], [-7.830, -2.299, -0.798], [1.544, -7.888, 7.567]], "species": ["Cs", "Cs", "Mg", "Mg", "U", "U", "Se", "Se", "Se", "Se", "Se", "Se"], "frac_coords": [[0.260, 0.520, 0.750], [0.740, 0.480, 0.250], [0.540, 0.079, 0.750], [0.460, 0.921, 0.250], [0.000, 0.000, 0.000], [0.000, 0.000, 0.500], [0.621, 0.241, 0.949], [0.056, 0.113, 0.250], [0.621, 0.241, 0.551], [0.944, 0.887, 0.750], [0.379, 0.759, 0.051], [0.379, 0.759, 0.449]]}

Q: Which formation energy from raw total energies values were calculated for the entries above? A: -0.46; -1.13; 0.36; 0.19; 0.99; -1.34, in eV/atom.